No. 1
PBE CaLaAsN, optimized geometry; formation energy without anion corrections = -4.3 eV/f.u.; space group = P4/nmm (129); density of states at the Fermi level = 6.37 states/eV per cell; total magnetization = 0.000 μB per cell; crystal system = tetragonal
1.0
-2.966 -2.683 -2.299
-1.928 -1.287 3.989
-5.613 6.682 -0.557
Ca As N La
2 2 2 2
direct
0.500 0.500 0.500 Ca
0.000 0.000 0.500 Ca
0.500 0.000 0.194 As
0.000 0.500 0.806 As
0.000 0.500 0.411 N
0.500 0.000 0.589 N
0.000 0.500 0.167 La
0.500 0.000 0.833 La



No. 2
PBE CaMn2Re, optimized geometry; space group = Imm2 (44); ΔE to the lowest computed polymorph = 211 meV per atom; density of states at the Fermi level = 3.74 states/eV per cell; total magnetization = 1.153 μB per cell; crystal system = orthorhombic; energy of formation = 0.584 eV per atom
1.0
5.546 -0.032 -0.041
2.775 4.802 0.041
-3.495 -3.547 2.444
Mn Re Ca
2 1 1
direct
0.968 0.968 0.000 Mn
0.743 0.243 0.500 Mn
0.536 0.536 0.000 Re
0.253 0.753 0.500 Ca



No. 3
PBE TbPr2TmS5, optimized geometry; formation energy without anion corrections = -13.7 eV/f.u.; space group = P4/mmm (123); density of states at the Fermi level = 5.11 states/eV per cell; total magnetization = 0.000 μB per cell; crystal system = tetragonal
1.0
4.836 0.000 0.000
0.000 4.836 0.000
0.000 0.000 10.293
Pr S Tb Tm
2 5 1 1
direct
0.500 0.500 0.293 Pr
0.500 0.500 0.707 Pr
0.000 0.500 0.500 S
0.000 0.000 0.247 S
0.000 0.000 0.753 S
0.500 0.000 0.500 S
0.500 0.500 0.000 S
0.000 0.000 0.000 Tb
0.000 0.000 0.500 Tm



No. 4
PBE LiTa2Rh, optimized geometry; space group = Cm (8); density of states at the Fermi level = 3.64 states/eV per cell; total magnetization = 0.000 μB per cell; crystal system = monoclinic; energy of formation = 0.006 eV per atom
1.0
-1.205 2.518 -4.538
0.989 0.554 -5.206
-2.894 -2.266 -2.847
Rh Ta Li
1 2 1
direct
0.249 0.249 0.251 Rh
0.988 0.988 0.012 Ta
0.745 0.745 0.755 Ta
0.519 0.519 0.481 Li



> Among the records above, which one has the lowest density of states at the Fermi level?

LiTa2Rh



> Which formula does entry 1 have?

CaLaAsN



> total magnetization of number 2 (CaMn2Re)?

1.153 μB per cell



> density of states at the Fermi level of number 3 (TbPr2TmS5)?

5.11 states/eV per cell